A relaxed DyHfRh4 crystal, computed with GGA-PBE.

offset from the most stable computed form	0.000	eV per atom
space group	F-43m, No. 216
energy relative to the elements	-644	meV/atom

```
DyHfRh4
1.0
5.263 0.000 0.000
2.631 4.558 0.000
2.631 1.519 4.297
Rh Hf Dy
4 1 1
direct
0.625 0.625 0.125 Rh
0.625 0.125 0.625 Rh
0.625 0.625 0.625 Rh
0.125 0.625 0.625 Rh
0.000 0.000 0.000 Hf
0.250 0.250 0.250 Dy
```

***

A relaxed DyHf2Rh3 crystal, computed with GGA-PBE.

space group	P4/mmm, No. 123
energy relative to the elements	-895	meV/atom

```
DyHf2Rh3
1.0
3.276 0.000 0.000
0.000 3.276 0.000
0.000 0.000 10.327
Dy Hf Rh
1 2 3
direct
0.500 0.500 0.500 Dy
0.500 0.500 0.838 Hf
0.500 0.500 0.162 Hf
0.000 0.000 0.000 Rh
0.000 0.000 0.695 Rh
0.000 0.000 0.305 Rh
```

***

A relaxed DyHf2Rh crystal, computed with GGA-PBE.

space group	P4/mmm, No. 123
energy relative to the elements	-302	meV/atom

```
DyHf2Rh
1.0
3.335 0.000 0.000
0.000 3.335 0.000
0.000 0.000 7.762
Rh Hf Dy
1 2 1
direct
0.500 0.500 0.000 Rh
0.000 0.000 0.799 Hf
0.000 0.000 0.201 Hf
0.500 0.500 0.500 Dy
```

***

A relaxed Dy4HfRh5 crystal, computed with GGA-PBE.

space group	P4/mmm, No. 123
energy relative to the elements	-880	meV/atom

```
Dy4HfRh5
1.0
3.356 0.000 0.000
0.000 3.356 0.000
0.000 0.000 17.386
Dy Hf Rh
4 1 5
direct
0.000 0.000 0.196 Dy
0.000 0.000 0.399 Dy
0.000 0.000 0.601 Dy
0.000 0.000 0.804 Dy
0.000 0.000 0.000 Hf
0.500 0.500 0.087 Rh
0.500 0.500 0.296 Rh
0.500 0.500 0.500 Rh
0.500 0.500 0.704 Rh
0.500 0.500 0.913 Rh
```

***

A relaxed DyHfRuRh crystal, computed with GGA-PBE.

space group	F-43m, No. 216
energy relative to the elements	-713	meV/atom

```
DyHfRuRh
1.0
-1.794 2.204 3.753
1.918 -0.649 4.250
2.405 3.487 2.055
Ru Rh Hf Dy
1 1 1 1
direct
0.750 0.750 0.750 Ru
0.250 0.250 0.250 Rh
0.000 0.000 0.000 Hf
0.500 0.500 0.500 Dy
```

***

A relaxed Dy2HfSi2Rh5 crystal, computed with GGA-PBE.

ΔE_f (raw)	-1.02	eV/atom
space group	P4/mbm, No. 127

```
Dy2HfSi2Rh5
1.0
-2.885 1.891 -0.869
-3.879 -1.893 8.759
4.194 8.051 3.597
Dy Hf Si Rh
4 2 4 10
direct
0.000 0.675 0.175 Dy
0.000 0.325 0.825 Dy
0.000 0.175 0.325 Dy
0.000 0.825 0.675 Dy
0.000 0.000 0.000 Hf
0.000 0.500 0.500 Hf
0.000 0.122 0.622 Si
0.000 0.878 0.378 Si
0.000 0.622 0.878 Si
0.000 0.378 0.122 Si
0.500 0.214 0.069 Rh
0.500 0.786 0.931 Rh
0.500 0.069 0.786 Rh
0.500 0.714 0.431 Rh
0.500 0.931 0.214 Rh
0.500 0.286 0.569 Rh
0.500 0.569 0.714 Rh
0.500 0.431 0.286 Rh
0.500 0.500 0.000 Rh
0.500 0.000 0.500 Rh
```

***

A relaxed DyHfTcRh crystal, computed with GGA-PBE.

space group	F-43m, No. 216
energy relative to the elements	-538	meV/atom

```
DyHfTcRh
1.0
4.712 0.000 0.000
2.356 4.081 0.000
2.356 1.360 3.847
Rh Hf Tc Dy
1 1 1 1
direct
0.500 0.500 0.500 Rh
0.250 0.250 0.250 Hf
0.000 0.000 0.000 Tc
0.750 0.750 0.750 Dy
```

***

A relaxed Dy2HfZn2Rh5 crystal, computed with GGA-PBE.

space group	P4/mbm, No. 127
energy relative to the elements	-736	meV/atom

```
Dy2HfZn2Rh5
1.0
3.570 0.000 0.000
0.000 9.846 0.000
0.000 0.000 9.846
Dy Hf Zn Rh
4 2 4 10
direct
0.000 0.672 0.172 Dy
0.000 0.328 0.828 Dy
0.000 0.172 0.328 Dy
0.000 0.828 0.672 Dy
0.000 0.000 0.000 Hf
0.000 0.500 0.500 Hf
0.000 0.125 0.625 Zn
0.000 0.875 0.375 Zn
0.000 0.625 0.875 Zn
0.000 0.375 0.125 Zn
0.500 0.202 0.068 Rh
0.500 0.798 0.932 Rh
0.500 0.068 0.798 Rh
0.500 0.702 0.432 Rh
0.500 0.932 0.202 Rh
0.500 0.298 0.568 Rh
0.500 0.568 0.702 Rh
0.500 0.432 0.298 Rh
0.500 0.500 0.000 Rh
0.500 0.000 0.500 Rh
```

***

A relaxed DyHf3Ru4 crystal, computed with GGA-PBE.

space group	R-3m, No. 166
energy relative to the elements	-702	meV/atom

```
DyHf3Ru4
1.0
4.437 0.000 1.310
2.025 3.948 1.310
0.031 0.019 8.066
Ru Hf Dy
4 3 1
direct
0.872 0.872 0.383 Ru
0.379 0.379 0.864 Ru
0.128 0.128 0.617 Ru
0.621 0.621 0.136 Ru
0.248 0.248 0.255 Hf
0.752 0.752 0.745 Hf
0.500 0.500 0.500 Hf
0.000 0.000 0.000 Dy
```

***

A relaxed Dy2HfU2Ru5 crystal, computed with GGA-PBE.

space group	P4/mbm, No. 127
energy relative to the elements	-298	meV/atom

```
Dy2HfU2Ru5
1.0
-0.580 -3.209 1.316
8.142 -3.718 -5.476
6.388 2.143 8.044
Dy Hf U Ru
4 2 4 10
direct
0.000 0.674 0.174 Dy
0.000 0.326 0.826 Dy
0.000 0.174 0.326 Dy
0.000 0.826 0.674 Dy
0.000 0.000 0.000 Hf
0.000 0.500 0.500 Hf
0.000 0.139 0.639 U
0.000 0.861 0.361 U
0.000 0.639 0.861 U
0.000 0.361 0.139 U
0.500 0.203 0.051 Ru
0.500 0.797 0.949 Ru
0.500 0.051 0.797 Ru
0.500 0.703 0.449 Ru
0.500 0.949 0.203 Ru
0.500 0.297 0.551 Ru
0.500 0.551 0.703 Ru
0.500 0.449 0.297 Ru
0.500 0.500 0.000 Ru
0.500 0.000 0.500 Ru
```

***

A relaxed DyHfS4 crystal, computed with GGA-PBE.

ΔE_f (raw)	-1.41	eV/atom
space group	Cmmm, No. 65

```
DyHfS4
1.0
-3.401 1.168 -1.406
2.030 -1.078 -5.804
-2.171 -5.839 0.403
Dy Hf S
1 1 4
direct
0.500 0.000 0.000 Dy
0.000 0.500 0.500 Hf
0.000 0.214 0.214 S
0.000 0.786 0.786 S
0.500 0.689 0.311 S
0.500 0.311 0.689 S
```

***

A relaxed Dy2Hf2S7 crystal, computed with GGA-PBE.

ΔE_f (raw)	-1.65	eV/atom
space group	Imm2, No. 44

```
Dy2Hf2S7
1.0
3.740 0.000 0.000
1.870 8.113 0.051
1.870 3.892 7.119
Dy Hf S
2 2 7
direct
0.000 0.787 0.213 Dy
0.500 0.321 0.679 Dy
0.745 0.843 0.667 Hf
0.255 0.333 0.157 Hf
0.813 0.083 0.291 S
0.850 0.429 0.870 S
0.500 0.012 0.988 S
0.615 0.488 0.282 S
0.385 0.718 0.512 S
0.187 0.709 0.917 S
0.150 0.130 0.571 S
```

***

A relaxed Dy3HfS6 crystal, computed with GGA-PBE.

ΔE_f (raw)	-1.89	eV/atom
space group	R-3, No. 148

```
Dy3HfS6
1.0
7.779 -0.474 -0.485
-0.643 7.767 -0.485
-0.643 -0.657 7.755
Dy Hf S
6 2 12
direct
0.377 0.885 0.708 Dy
0.885 0.708 0.377 Dy
0.292 0.623 0.115 Dy
0.708 0.377 0.885 Dy
0.115 0.292 0.623 Dy
0.623 0.115 0.292 Dy
0.000 0.000 0.000 Hf
0.500 0.500 0.500 Hf
0.318 0.963 0.069 S
0.037 0.931 0.682 S
0.575 0.811 0.433 S
0.931 0.682 0.037 S
0.433 0.575 0.811 S
0.189 0.567 0.425 S
0.811 0.433 0.575 S
0.567 0.425 0.189 S
0.069 0.318 0.963 S
0.425 0.189 0.567 S
0.963 0.069 0.318 S
0.682 0.037 0.931 S
```

***

A relaxed DyHf2S6 crystal, computed with GGA-PBE.

ΔE_f (raw)	-1.45	eV/atom
space group	C2/m, No. 12

```
DyHf2S6
1.0
5.020 0.000 0.000
2.510 6.197 -0.698
2.510 1.683 6.747
Dy Hf S
1 2 6
direct
0.000 0.500 0.500 Dy
0.173 0.741 0.913 Hf
0.827 0.259 0.087 Hf
0.729 0.651 0.891 S
0.271 0.349 0.109 S
0.945 0.877 0.233 S
0.378 0.682 0.562 S
0.055 0.123 0.767 S
0.622 0.318 0.438 S
```

***

A relaxed Dy2HfS6 crystal, computed with GGA-PBE.

ΔE_f (raw)	-1.48	eV/atom
space group	P2_1/c, No. 14

```
Dy2HfS6
1.0
6.563 0.000 -0.042
0.000 7.140 0.000
-0.883 0.000 8.381
Dy Hf S
4 2 12
direct
0.970 0.373 0.771 Dy
0.530 0.873 0.729 Dy
0.470 0.127 0.271 Dy
0.030 0.627 0.229 Dy
0.500 0.500 0.000 Hf
0.000 0.000 0.500 Hf
0.839 0.981 0.220 S
0.831 0.681 0.542 S
0.815 0.667 0.923 S
0.685 0.167 0.577 S
0.669 0.181 0.958 S
0.661 0.481 0.280 S
0.161 0.019 0.780 S
0.169 0.319 0.458 S
0.185 0.333 0.077 S
0.315 0.833 0.423 S
0.331 0.819 0.042 S
0.339 0.519 0.720 S
```

***

A relaxed DyHf2S crystal, computed with GGA-PBE.

ΔE_f (raw)	-0.29	eV/atom
space group	R-3m, No. 166

```
DyHf2S
1.0
3.439 0.000 0.000
1.720 2.979 0.000
1.720 0.993 9.229
S Hf Dy
1 2 1
direct
0.500 0.500 0.500 S
0.112 0.112 0.663 Hf
0.888 0.888 0.337 Hf
0.000 0.000 0.000 Dy
```

***

A relaxed Dy5HfSb6 crystal, computed with GGA-PBE.

ΔE_f (raw)	-1.01	eV/atom
space group	C2/m, No. 12

```
Dy5HfSb6
1.0
7.372 -0.115 -1.392
-3.983 6.204 -1.392
0.141 0.253 7.493
Sb Hf Dy
6 1 5
direct
0.403 0.080 0.242 Sb
0.920 0.597 0.758 Sb
0.239 0.239 0.753 Sb
0.761 0.761 0.247 Sb
0.080 0.403 0.242 Sb
0.597 0.920 0.758 Sb
0.000 0.000 0.000 Hf
0.828 0.172 0.500 Dy
0.665 0.335 0.000 Dy
0.500 0.500 0.500 Dy
0.335 0.665 0.000 Dy
0.172 0.828 0.500 Dy
```

***

A relaxed DyHfSb3 crystal, computed with GGA-PBE.

ΔE_f (raw)	-0.65	eV/atom
space group	Pbcm, No. 57

```
DyHfSb3
1.0
6.326 0.000 0.000
0.000 6.351 0.000
0.000 0.000 13.136
Dy Hf Sb
4 4 12
direct
0.750 0.487 0.679 Dy
0.250 0.513 0.321 Dy
0.750 0.987 0.321 Dy
0.250 0.013 0.679 Dy
0.500 0.250 0.094 Hf
0.000 0.750 0.906 Hf
0.500 0.750 0.906 Hf
0.000 0.250 0.094 Hf
0.000 0.250 0.496 Sb
0.500 0.750 0.504 Sb
0.000 0.750 0.504 Sb
0.500 0.250 0.496 Sb
0.250 0.125 0.917 Sb
0.750 0.875 0.083 Sb
0.250 0.625 0.083 Sb
0.750 0.375 0.917 Sb
0.250 0.506 0.757 Sb
0.750 0.494 0.243 Sb
0.250 0.006 0.243 Sb
0.750 0.994 0.757 Sb
```

***

A relaxed Dy4HfSb5 crystal, computed with GGA-PBE.

ΔE_f (raw)	-0.96	eV/atom
space group	I4/mmm, No. 139

```
Dy4HfSb5
1.0
4.284 0.000 -0.604
-0.085 4.283 -0.604
0.009 0.009 15.566
Dy Hf Sb
4 1 5
direct
0.400 0.400 0.800 Dy
0.802 0.802 0.603 Dy
0.198 0.198 0.397 Dy
0.600 0.600 0.200 Dy
0.000 0.000 0.000 Hf
0.096 0.096 0.192 Sb
0.500 0.500 0.000 Sb
0.904 0.904 0.808 Sb
0.300 0.300 0.600 Sb
0.700 0.700 0.400 Sb
```

***

A relaxed Dy3HfSb4 crystal, computed with GGA-PBE.

ΔE_f (raw)	-0.94	eV/atom
space group	Cmmm, No. 65

```
Dy3HfSb4
1.0
4.303 0.000 0.000
0.000 7.055 -2.407
0.000 -0.060 7.454
Sb Hf Dy
4 1 3
direct
0.000 0.238 0.238 Sb
0.500 0.756 0.244 Sb
0.000 0.762 0.762 Sb
0.500 0.244 0.756 Sb
0.500 0.000 0.000 Hf
0.000 0.000 0.500 Dy
0.500 0.500 0.500 Dy
0.000 0.500 0.000 Dy
```

***

Number 1: calculated total energy -7.971 eV per atom, DOS(E_F) 3.19 states/eV/cell. Number 2: calculated total energy -8.655 eV per atom, DOS(E_F) 4.40 states/eV/cell. Number 3: calculated total energy -8.267 eV per atom, DOS(E_F) 6.49 states/eV/cell. Number 4: calculated total energy -7.392 eV per atom, DOS(E_F) 5.72 states/eV/cell. Number 5: calculated total energy -8.508 eV per atom, DOS(E_F) 1.82 states/eV/cell. Number 6: calculated total energy -7.694 eV per atom, DOS(E_F) 4.47 states/eV/cell. Number 7: calculated total energy -8.606 eV per atom, DOS(E_F) 2.86 states/eV/cell. Number 8: calculated total energy -6.582 eV per atom, DOS(E_F) 9.65 states/eV/cell. Number 9: calculated total energy -9.648 eV per atom, DOS(E_F) 1.38 states/eV/cell. Number 10: calculated total energy -9.110 eV per atom, DOS(E_F) 15.36 states/eV/cell. Number 11: calculated total energy -6.585 eV per atom, DOS(E_F) 5.45 states/eV/cell. Number 12: calculated total energy -6.920 eV per atom, DOS(E_F) 0.41 states/eV/cell. Number 13: calculated total energy -6.739 eV per atom, DOS(E_F) 4.04 states/eV/cell. Number 14: calculated total energy -6.922 eV per atom, DOS(E_F) 1.63 states/eV/cell. Number 15: calculated total energy -6.358 eV per atom, DOS(E_F) 5.01 states/eV/cell. Number 16: calculated total energy -7.446 eV per atom, DOS(E_F) 3.12 states/eV/cell. Number 17: calculated total energy -5.816 eV per atom, DOS(E_F) 2.99 states/eV/cell. Number 18: calculated total energy -6.031 eV per atom, DOS(E_F) 10.46 states/eV/cell. Number 19: calculated total energy -5.857 eV per atom, DOS(E_F) 2.54 states/eV/cell. Number 20: calculated total energy -5.973 eV per atom, DOS(E_F) 1.33 states/eV/cell.